# Na2LiBeF6 | the Alexandria database | PBE | relaxed
data_Na2LiBeF6
_symmetry_space_group_name_H-M 'P 1'
_symmetry_Int_Tables_number 1
_cell_length_a 5.252
_cell_length_b 5.267
_cell_length_c 7.432
_cell_angle_alpha 90.00
_cell_angle_beta 89.98
_cell_angle_gamma 90.00
loop_
_symmetry_equiv_pos_as_xyz
'x,y,z'
loop_
_atom_site_label
_atom_site_type_symbol
_atom_site_fract_x
_atom_site_fract_y
_atom_site_fract_z
F1 F 0.759 0.208 0.480
Li1 Li 0.500 0.000 0.000
F2 F 0.707 0.741 0.479
Be1 Be 0.000 0.500 0.000
F3 F 0.459 0.006 0.267
F4 F 0.293 0.259 0.521
Na1 Na 0.503 0.482 0.250
F5 F 0.959 0.494 0.767
F6 F 0.207 0.759 0.979
F7 F 0.793 0.241 0.021
Be2 Be 0.500 0.000 0.500
F8 F 0.259 0.292 0.980
Na2 Na 0.497 0.518 0.750
F9 F 0.541 0.994 0.733
F10 F 0.741 0.708 0.020
Li2 Li 0.000 0.500 0.500
F11 F 0.041 0.506 0.233
Na3 Na 0.003 0.018 0.750
Na4 Na 0.997 0.982 0.250
F12 F 0.241 0.792 0.520
# SG: No. 14

---

# NaLiBeF4 | the Alexandria database | PBE | relaxed
data_NaLiBeF4
_symmetry_space_group_name_H-M 'P 1'
_symmetry_Int_Tables_number 1
_cell_length_a 4.667
_cell_length_b 6.264
_cell_length_c 10.927
_cell_angle_alpha 90.00
_cell_angle_beta 90.00
_cell_angle_gamma 90.00
loop_
_symmetry_equiv_pos_as_xyz
'x,y,z'
loop_
_atom_site_label
_atom_site_type_symbol
_atom_site_fract_x
_atom_site_fract_y
_atom_site_fract_z
F1 F 0.730 0.952 0.855
Na1 Na 0.031 0.750 0.725
F2 F 0.731 0.250 0.077
Li1 Li 0.500 0.000 0.500
Li2 Li 0.000 0.000 0.000
F3 F 0.730 0.548 0.855
F4 F 0.770 0.548 0.355
Na2 Na 0.531 0.250 0.775
F5 F 0.252 0.250 0.949
Na3 Na 0.469 0.750 0.225
Na4 Na 0.969 0.250 0.275
F6 F 0.770 0.952 0.355
F7 F 0.752 0.750 0.551
F8 F 0.231 0.750 0.423
F9 F 0.270 0.048 0.145
Be1 Be 0.600 0.750 0.920
F10 F 0.269 0.750 0.923
Li3 Li 0.000 0.500 0.000
F11 F 0.270 0.452 0.145
F12 F 0.230 0.048 0.645
Be2 Be 0.900 0.750 0.420
F13 F 0.769 0.250 0.577
F14 F 0.248 0.250 0.449
F15 F 0.748 0.750 0.051
F16 F 0.230 0.452 0.645
Li4 Li 0.500 0.500 0.500
Be3 Be 0.400 0.250 0.080
Be4 Be 0.100 0.250 0.580
# SG: No. 62
# Energy relative to the lowest polymorph listed for this composition, meV per atom: 0

---

# NaLiBe2F6 | the Alexandria database | PBE | relaxed
data_NaLiBe2F6
_symmetry_space_group_name_H-M 'P 1'
_symmetry_Int_Tables_number 1
_cell_length_a 5.231
_cell_length_b 6.818
_cell_length_c 6.818
_cell_angle_alpha 89.82
_cell_angle_beta 76.56
_cell_angle_gamma 76.56
loop_
_symmetry_equiv_pos_as_xyz
'x,y,z'
loop_
_atom_site_label
_atom_site_type_symbol
_atom_site_fract_x
_atom_site_fract_y
_atom_site_fract_z
F1 F 0.191 0.965 0.771
Be1 Be 0.294 0.779 0.615
F2 F 0.809 0.035 0.229
F3 F 0.453 0.367 0.324
F4 F 0.953 0.324 0.367
F5 F 0.109 0.604 0.165
F6 F 0.309 0.229 0.035
Be2 Be 0.706 0.221 0.385
F7 F 0.391 0.835 0.396
Li1 Li 0.750 0.763 0.237
F8 F 0.547 0.633 0.676
F9 F 0.047 0.676 0.633
Na1 Na 0.250 0.895 0.105
F10 F 0.691 0.771 0.965
Li2 Li 0.250 0.237 0.763
Be3 Be 0.794 0.615 0.779
F11 F 0.609 0.165 0.604
Be4 Be 0.206 0.385 0.221
F12 F 0.891 0.396 0.835
Na2 Na 0.750 0.105 0.895
# SG: No. 15

---

no.,total energy (eV per atom)
1,-4.532
2,-5.138
3,-5.316